First-principles (PBE) data for a geometry-optimized Na2LaTaIn structure, as listed in the Alexandria database.

The total energy comes out at -3.38 eV/atom. The value obtained for the excess energy over the best structure of this formula in the dataset is 0.000 eV/atom.

The structure belongs to space group P4/mmm (No. 123); the cell edges are 5.5006, 5.5006 and 5.4699 Å and the angles 90.00°, 90.00° and 90.00°. The distinct sites, in fractional coordinates, are Na at (0.0000, 0.5000, 0.0000), La at (0.0000, 0.0000, 0.5000), Ta at (0.5000, 0.5000, 0.0000) and In at (0.5000, 0.5000, 0.5000).